1.
VASP calculation (GGA+U) on a geometry-optimized VNO2F structure.

Structure (CIF):
```
data_VNO2F
_chemical_formula_sum 'V1 N1 O2 F1'
_symmetry_space_group_name_H-M 'P 4/m m m'
_symmetry_Int_Tables_number 123
_symmetry_space_group_name_Hall '-P 4 2'
_cell_length_a 3.753
_cell_length_b 3.753
_cell_length_c 3.444
_cell_angle_alpha 90.00
_cell_angle_beta 90.00
_cell_angle_gamma 90.00
loop_
_atom_site_label
_atom_site_fract_x
_atom_site_fract_y
_atom_site_fract_z
V1 0.000 0.000 0.000
N1 0.500 0.500 0.000
O1 0.000 0.500 0.500
F1 0.500 0.500 0.500
```


2.
VASP calculation (GGA+U) on a geometry-optimized VNO2F structure.

Structure (CIF):
```
data_VNO2F
_chemical_formula_sum 'V1 N1 O2 F1'
_symmetry_space_group_name_H-M 'P 4/m m m'
_symmetry_Int_Tables_number 123
_symmetry_space_group_name_Hall '-P 4 2'
_cell_length_a 3.691
_cell_length_b 3.691
_cell_length_c 3.468
_cell_angle_alpha 90.00
_cell_angle_beta 90.00
_cell_angle_gamma 90.00
loop_
_atom_site_label
_atom_site_fract_x
_atom_site_fract_y
_atom_site_fract_z
V1 0.000 0.000 0.000
N1 0.500 0.500 0.500
O1 0.000 0.500 0.500
F1 0.500 0.500 0.000
```


Quick rundown of DOS(E_F), same order as above: 2.022, 1.989 states/eV/f.u.
Quick rundown of VASP energy, same order as above: -20.6, -25.5 eV per cell